# KLaZrSnO6 | the Alexandria database | GGA-PBE | optimized geometry
# formation energy from raw total energies	-2.5447	eV/atom
# density	5.66	g cm⁻³
# total magnetization	0.0	μB/cell
data_KLaZrSnO6
_chemical_formula_sum 'K4 La4 Zr4 Sn4 O24'
_space_group_name_H-M_alt 'F -4 3 m'
_space_group_IT_number 216
_space_group_name_Hall 'F -4 2 3'
_cell_length_a 8.280
_cell_length_b 8.280
_cell_length_c 8.280
_cell_angle_alpha 90.00
_cell_angle_beta 90.00
_cell_angle_gamma 90.00
loop_
_atom_site_label
_atom_site_type_symbol
_atom_site_fract_x
_atom_site_fract_y
_atom_site_fract_z
K1 K 0.000 0.000 0.000
La1 La 0.000 0.000 0.500
Zr1 Zr 0.250 0.250 0.750
Sn1 Sn 0.250 0.250 0.250
O1 O 0.002 0.250 0.250